1.
This record from Alexandria describes an optimized crystal structure of FeHgRh4. The functional is PBE-GGA.

Unit cell a=5.1500 b=5.1500 c=5.1500 alpha=60.00 beta=60.00 gamma=60.00
Last column: magnetic moment on the atom in μB.
Fractional positions:
Rh: 0.6248 0.1255 0.6248  0.51
Rh: 0.1255 0.6248 0.6248  0.51
Hg: 0.0000 0.0000 0.0000  -0.02
Rh: 0.6248 0.6248 0.6248  0.51
Fe: 0.2500 0.2500 0.2500  3.31
Rh: 0.6248 0.6248 0.1255  0.51

Properties
* spin magnetization: 5.331 μB per formula unit
* space-group type: No. 216
* electronic total energy: -36.1 eV per formula unit
* density: 11.49 g/cm3
* formation energy: 0.34 eV per atom



2.
This record from Alexandria describes an optimized crystal structure of Ba2Tl2Bi. The functional is PBE-GGA.

Unit cell a=5.0452 b=7.1268 c=12.3292 alpha=81.32 beta=78.19 gamma=69.27
Fractional positions:
Ba: 0.2837 0.7643 0.6682
Ba: 0.9045 0.2932 0.8978
Tl: 0.0982 0.2669 0.5368
Bi: 0.5449 0.2112 0.6989
Ba: 0.0955 0.7068 0.1022
Tl: 0.3730 0.1474 0.1066
Tl: 0.6270 0.8526 0.8934
Bi: 0.4551 0.7888 0.3011
Ba: 0.7163 0.2357 0.3318
Tl: 0.9018 0.7331 0.4632

Properties
* spin magnetization: 0.000 μB per formula unit
* space-group type: No. 12
* electronic total energy: -14.9 eV per formula unit
* density: 7.33 g/cm3
* formation energy: -0.49 eV per atom
* polymorph energy (0 for the lowest one): 0 meV/atom



3.
This record from Alexandria describes an optimized crystal structure of Pr4Nd5Al. The functional is PBE-GGA.

Unit cell a=5.9623 b=8.2264 c=8.2264 alpha=82.45 beta=68.75 gamma=68.75
Fractional positions:
Nd: 0.6509 0.0000 0.0000
Pr: 0.7667 0.6895 0.6896
Al: 0.1726 0.0000 0.0000
Pr: 0.1459 0.3105 0.3104
Pr: 0.4564 0.3104 0.6895
Nd: 0.1485 0.0001 0.6337
Nd: 0.7823 0.9999 0.3663
Nd: 0.1486 0.6337 0.9999
Nd: 0.7822 0.3663 0.0001
Pr: 0.4562 0.6896 0.3105

Properties
* spin magnetization: 0.000 μB per formula unit
* space-group type: No. 107
* electronic total energy: -45.9 eV per formula unit
* density: 6.21 g/cm3
* formation energy: 0.08 eV per atom
* polymorph energy (0 for the lowest one): 137 meV/atom



4.
This record from Alexandria describes an optimized crystal structure of Sc2TlH. The functional is PBE-GGA.

Unit cell a=6.3220 b=6.0500 c=7.8497 alpha=90.00 beta=99.51 gamma=90.00
Fractional positions:
Sc: 0.0854 0.7381 0.5206
Sc: 0.1797 0.9143 0.1652
H: 0.1965 0.4245 0.5781
Sc: 0.9146 0.2619 0.4794
H: 0.8035 0.5755 0.4219
H: 0.3035 0.9245 0.4219
Tl: 0.8455 0.5733 0.8251
Sc: 0.5854 0.7619 0.5206
Tl: 0.3455 0.9267 0.8251
Sc: 0.8203 0.0857 0.8348
Tl: 0.6545 0.0733 0.1749
Sc: 0.3203 0.4143 0.8348
Sc: 0.4146 0.2381 0.4794
Sc: 0.6797 0.5857 0.1652
H: 0.6965 0.0755 0.5781
Tl: 0.1545 0.4267 0.1749

Properties
* spin magnetization: 0.000 μB per formula unit
* space-group type: No. 14
* electronic total energy: -19.6 eV per formula unit
* density: 6.62 g/cm3
* polymorph energy (0 for the lowest one): 74 meV/atom